1.
TlAgPb2: optimized geometry, PBEsol.

Summary:
excess energy over the best structure of this formula in the dataset = 0 meV/atom
density of states at the Fermi level = 1.7 states/eV/f.u.
crystal system = tetragonal
energy = -3.449 eV/atom
ΔH_f (0 K) = 35 meV/atom

a = 3.4804 Å, b = 3.4804 Å, c = 8.4713 Å
α = 90.00°, β = 90.00°, γ = 90.00°
Closest atoms and distances in Å follow each position.
Atoms (fractional coordinates):
Pb 0.0000 0.0000 0.7146  4 Ag 3.06
Pb 0.0000 0.0000 0.2854  4 Ag 3.06
Tl 0.5000 0.5000 0.0000  8 Pb 3.45, 4 Tl 3.48
Ag 0.5000 0.5000 0.5000  8 Pb 3.06

---

2.
Ba2HgPt2: optimized geometry, PBEsol.

Summary:
density of states at the Fermi level = 2.4 states/eV/f.u.
crystal system = tetragonal
energy = -4.294 eV/atom
ΔH_f (0 K) = -536 meV/atom

a = 4.3535 Å, b = 7.9393 Å, c = 7.9393 Å
α = 90.00°, β = 90.00°, γ = 90.00°
Closest atoms and distances in Å follow each position.
Atoms (fractional coordinates):
Hg 0.0000 0.0000 0.0000  4 Pt 3.16
Hg 0.0000 0.5000 0.5000  4 Pt 3.16
Pt 0.0000 0.3786 0.8786  1 Pt 2.73
Pt 0.0000 0.8786 0.6214  1 Pt 2.73
Pt 0.0000 0.6214 0.1214  1 Pt 2.73
Pt 0.0000 0.1214 0.3786  1 Pt 2.73
Ba 0.5000 0.1757 0.6757  6 Pt 3.15-3.24
Ba 0.5000 0.6757 0.8243  6 Pt 3.15-3.24
Ba 0.5000 0.8243 0.3243  6 Pt 3.15-3.24
Ba 0.5000 0.3243 0.1757  6 Pt 3.15-3.24

---

3.
LuSi2Ru2: optimized geometry, PBEsol.

Summary:
density of states at the Fermi level = 2.9 states/eV/f.u.
crystal system = tetragonal
energy = -8.245 eV/atom
energy relative to the elements, uncorrected = -0.903 eV/atom

a = 4.1127 Å, b = 4.1127 Å, c = 5.5094 Å
α = 111.92°, β = 111.92°, γ = 90.00°
Closest atoms and distances in Å follow each position.
Atoms (fractional coordinates):
Ru 0.7500 0.2500 0.5000  4 Si 2.35
Ru 0.2500 0.7500 0.5000  4 Si 2.35
Si 0.3707 0.3707 0.7415  4 Ru 2.35, 1 Si 2.42
Si 0.6293 0.6293 0.2585  4 Ru 2.35, 1 Si 2.42
Lu 0.0000 0.0000 0.0000  8 Ru 3.11, 10 Si 3.15-3.47

---

4.
Li2AlCd: optimized geometry, PBEsol.

Summary:
density of states at the Fermi level = 0.9 states/eV/f.u.
crystal system = cubic
energy = -2.468 eV/atom
ΔH_f (0 K) = -163 meV/atom

a = 4.5086 Å, b = 4.5086 Å, c = 4.5086 Å
α = 60.00°, β = 60.00°, γ = 60.00°
Closest atoms and distances in Å follow each position.
Atoms (fractional coordinates):
Cd 0.0000 0.0000 0.0000  8 Li 2.76
Al 0.5000 0.5000 0.5000  8 Li 2.76
Li 0.7500 0.7500 0.7500  4 Cd 2.76, 4 Al 2.76
Li 0.2500 0.2500 0.2500  4 Al 2.76, 4 Cd 2.76

---

5.
SiRu: optimized geometry, PBEsol.

Summary:
density of states at the Fermi level = 1.9 states/eV/f.u.
crystal system = cubic
energy = -7.857 eV/atom
energy relative to the elements, uncorrected = 0.103 eV/atom

a = 4.2271 Å, b = 4.2271 Å, c = 4.2271 Å
α = 60.00°, β = 60.00°, γ = 60.00°
Closest atoms and distances in Å follow each position.
Atoms (fractional coordinates):
Ru 0.5000 0.5000 0.5000  4 Ru 2.59, 4 Si 2.59
Ru 0.7500 0.7500 0.7500  4 Ru 2.59, 4 Si 2.59
Si 0.0000 0.0000 0.0000  4 Ru 2.59, 4 Si 2.59
Si 0.2500 0.2500 0.2500  4 Si 2.59, 4 Ru 2.59

---

6.
BaMn2Be: optimized geometry, PBEsol.

Summary:
density of states at the Fermi level = 3.8 states/eV/f.u.
crystal system = orthorhombic
energy = -5.230 eV/atom
ΔH_f (0 K) = 1187 meV/atom

a = 3.1584 Å, b = 4.7245 Å, c = 5.0070 Å
α = 90.00°, β = 90.00°, γ = 90.00°
Closest atoms and distances in Å follow each position.
Atoms (fractional coordinates):
Be 0.0000 0.5000 0.5000  4 Mn 2.84, 4 Ba 2.96, 2 Be 3.16
Mn 0.0000 0.0000 0.0000  4 Ba 2.84, 6 Mn 2.96-3.16
Mn 0.5000 0.0000 0.5000  4 Be 2.84, 6 Mn 2.96-3.16
Ba 0.5000 0.5000 0.0000  4 Mn 2.84, 4 Be 2.96, 2 Ba 3.16

---

7.
PrCo3Ni2: optimized geometry, PBEsol.

Summary:
density of states at the Fermi level = 7.5 states/eV/f.u.
crystal system = hexagonal
energy = -6.871 eV/atom
ΔH_f (0 K) = -86 meV/atom

a = 3.9671 Å, b = 4.8752 Å, c = 4.8752 Å
α = 120.00°, β = 90.00°, γ = 90.00°
Closest atoms and distances in Å follow each position.
Atoms (fractional coordinates):
Pr 0.0000 0.0000 0.0000  6 Ni 2.81, 12 Co 3.14
Ni 0.0000 0.6667 0.3333  6 Co 2.43
Ni 0.0000 0.3333 0.6667  6 Co 2.43
Co 0.5000 0.0000 0.5000  4 Ni 2.43, 4 Co 2.44
Co 0.5000 0.5000 0.5000  4 Ni 2.43, 4 Co 2.44
Co 0.5000 0.5000 0.0000  4 Ni 2.43, 4 Co 2.44

---

8.
ZrAgTe: optimized geometry, PBEsol.

Summary:
excess energy over the best structure of this formula in the dataset = 0 meV/atom
density of states at the Fermi level = 3.1 states/eV/f.u.
crystal system = cubic
energy = -5.373 eV/atom
energy relative to the elements, uncorrected = -0.064 eV/atom

a = 4.7145 Å, b = 4.7145 Å, c = 4.7145 Å
α = 60.00°, β = 60.00°, γ = 60.00°
Closest atoms and distances in Å follow each position.
Atoms (fractional coordinates):
Ag 0.0000 0.0000 0.0000  4 Zr 2.89
Te 0.5000 0.5000 0.5000  4 Zr 2.89
Zr 0.2500 0.2500 0.2500  4 Te 2.89, 4 Ag 2.89

---

9.
ZnSbPt2: optimized geometry, PBEsol.

Summary:
density of states at the Fermi level = 1.4 states/eV/f.u.
crystal system = monoclinic
energy = -5.315 eV/atom
energy relative to the elements, uncorrected = -0.298 eV/atom

a = 3.5764 Å, b = 4.3058 Å, c = 4.8342 Å
α = 105.80°, β = 111.71°, γ = 90.00°
Closest atoms and distances in Å follow each position.
Atoms (fractional coordinates):
Pt 0.0060 0.0614 0.0120  3 Zn 2.59-2.70, 4 Sb 2.74-2.85
Pt 0.2460 0.7072 0.4919  3 Sb 2.63-2.72, 4 Zn 2.74-2.86
Sb 0.5070 0.5453 0.0140  7 Pt 2.63-2.85, 1 Zn 2.94
Zn 0.7410 0.1861 0.4820  7 Pt 2.59-2.86

---

10.
LiIn2Sb: optimized geometry, PBEsol.

Summary:
density of states at the Fermi level = 1.6 states/eV/f.u.
crystal system = tetragonal
energy = -3.307 eV/atom
energy relative to the elements, uncorrected = -0.185 eV/atom

a = 4.3784 Å, b = 4.3784 Å, c = 4.8904 Å
α = 90.00°, β = 90.00°, γ = 90.00°
Closest atoms and distances in Å follow each position.
Atoms (fractional coordinates):
Sb 0.0000 0.0000 0.5000  4 Li 3.10, 8 In 3.28
In 0.0000 0.5000 0.0000  4 In 3.10, 4 Li 3.28, 4 Sb 3.28
In 0.5000 0.0000 0.0000  4 In 3.10, 4 Li 3.28, 4 Sb 3.28
Li 0.5000 0.5000 0.5000  4 Sb 3.10, 8 In 3.28

---

11.
InIN2F: optimized geometry, PBEsol.

Summary:
density of states at the Fermi level = 2.2 states/eV/f.u.
crystal system = tetragonal
energy = -3.889 eV/atom
energy relative to the elements, uncorrected = 0.857 eV/atom

a = 4.0891 Å, b = 4.0891 Å, c = 4.6996 Å
α = 90.00°, β = 90.00°, γ = 90.00°
Closest atoms and distances in Å follow each position.
Atoms (fractional coordinates):
I 0.0000 0.0000 0.0000  4 N 2.04
N 0.0000 0.5000 0.0000  2 I 2.04
N 0.5000 0.0000 0.0000  2 I 2.04
F 0.0000 0.0000 0.5000  2 I 2.35
In 0.5000 0.5000 0.5000  4 F 2.89, 8 N 3.11

---

12.
ReBi3I: optimized geometry, PBEsol.

Summary:
density of states at the Fermi level = 5.6 states/eV/f.u.
crystal system = cubic
energy = -5.002 eV/atom
energy relative to the elements, uncorrected = 0.590 eV/atom

a = 5.3266 Å, b = 5.3266 Å, c = 5.3266 Å
α = 90.00°, β = 90.00°, γ = 90.00°
Closest atoms and distances in Å follow each position.
Atoms (fractional coordinates):
I 0.5000 0.5000 0.5000  12 Bi 3.77
Re 0.0000 0.0000 0.0000  6 Bi 2.66
Bi 0.0000 0.5000 0.0000  2 Re 2.66
Bi 0.0000 0.0000 0.5000  2 Re 2.66
Bi 0.5000 0.0000 0.0000  2 Re 2.66

---

Computed size of the total moment, in the same sequence as the records: 0.000 0.000 0.000 0.000 0.000 6.626 4.692 0.001 0.000 0.000 0.001 0.000 μB per formula unit.